Record 1
Density functional theory data (PBE) for a geometry-optimized Ga2Rh2Pb structure.

Results
- Energy relative to the lowest polymorph listed for this composition: 0.020 eV per formula unit

Cell lengths 3.736, 3.736, 12.632 Å; angles 90.00, 90.00, 90.00 degrees
Space group I4/mmm (No. 139)
Unique sites:
Ga 0.000 0.500 0.250 x4
Rh 0.000 0.000 0.112 x4
Pb 0.000 0.000 0.500 x2

Record 2
Density functional theory data (PBE) for a geometry-optimized PbI3Br structure.

Results
- Uncorrected formation energy: 6.4 kcal/mol of atoms
- Energy relative to the lowest polymorph listed for this composition: 1.179 eV per formula unit

Cell lengths 5.972, 5.972, 5.972 Å; angles 90.00, 90.00, 90.00 degrees
Space group Pm-3m (No. 221)
Unique sites:
Pb 0.000 0.000 0.000 x1
I 0.000 0.500 0.500 x3
Br 0.500 0.500 0.500 x1

Record 3
Density functional theory data (PBE) for a geometry-optimized CaSc3I structure.

Results
- Uncorrected formation energy: 5.1 kcal/mol of atoms
- Energy relative to the lowest polymorph listed for this composition: 0.000 eV per formula unit

Cell lengths 5.402, 5.402, 5.402 Å; angles 90.00, 90.00, 90.00 degrees
Space group Pm-3m (No. 221)
Unique sites:
Ca 0.000 0.000 0.000 x1
Sc 0.000 0.500 0.500 x3
I 0.500 0.500 0.500 x1

Record 4
Density functional theory data (PBE) for a geometry-optimized Pr2GeP structure.

Results
- Energy relative to the lowest polymorph listed for this composition: 0.000 eV per formula unit

Cell lengths 4.354, 23.525, 4.126 Å; angles 90.00, 90.00, 90.00 degrees
Space group Cmcm (No. 63)
Unique sites:
Pr 0.000 0.068 0.250 x4
Pr 0.000 0.311 0.250 x4
Ge 0.000 0.462 0.250 x4
P 0.000 0.188 0.250 x4

Record 5
Density functional theory data (PBE) for a geometry-optimized Tb12HoEr5 structure.

Cell lengths 14.977, 15.018, 5.002 Å; angles 90.00, 90.00, 90.00 degrees
Space group Cmmm (No. 65)
Unique sites:
Tb 0.166 0.000 0.000 x4
Tb 0.166 0.167 0.500 x8
Tb 0.166 0.333 0.000 x8
Tb 0.166 0.500 0.500 x4
Ho 0.000 0.000 0.500 x2
Er 0.000 0.167 0.000 x4
Er 0.000 0.333 0.500 x4
Er 0.000 0.500 0.000 x2

Record 6
Density functional theory data (PBE) for a geometry-optimized Tb8AsSe3S4 structure.

Results
- Uncorrected formation energy: -43.4 kcal/mol of atoms

Cell lengths 8.0193, 8.0193, 19.8103 Å; angles 90.00, 90.00, 120.00 degrees
Space group R-3m (No. 166, hexagonal axes)
Unique sites:
Tb 0.0000 0.0000 0.2411 x6
Tb 0.0088 0.5044 0.7563 x18
As 0.0000 0.0000 0.0000 x3
Se 0.0000 0.5000 0.0000 x9
S 0.0000 0.0000 0.5000 x3
S 0.0000 0.5000 0.5000 x9

M_tot (μB per cell)
0.00; 0.45; 0.00; 0.00; 0.00; 0.00
Total energy (eV/f.u.)
-26.1; -8.6; -21.4; -24.3; -82.6; -98.8